[1]
TlGeC3 | GGA-PBE | optimized geometry

Calculated values
As for the space group: Pm-3m, No. 221. The raw total energy comes out at -3.409 eV per atom. As for the relative energy among the computed polymorphs: 0.9277 eV/atom. The value obtained for the formation energy is 1699 kJ/mol of formula units.

a b c (Å): 4.442 4.442 4.442
angles (deg): 90.00 90.00 90.00
Last column: magnetic moment on the atom in μB.
Element x y z (fractional)
Ge  0.500  0.500  0.500  0.00
C  0.000  0.000  0.500  0.42
C  0.500  0.000  0.000  0.42
C  0.000  0.500  0.000  0.46
Tl  0.000  0.000  0.000  0.05


[2]
TlGeC2 | GGA-PBE | optimized geometry

Calculated values
As for the space group: Fm-3m, No. 225. The raw total energy comes out at -3.927 eV per atom. As for the relative energy among the computed polymorphs: 1.1597 eV/atom. The value obtained for the formation energy is 938 kJ/mol of formula units.

a b c (Å): 4.342 4.342 4.342
angles (deg): 60.00 60.00 60.00
Element x y z (fractional)
C  0.250  0.250  0.250
C  0.750  0.750  0.750
Tl  0.500  0.500  0.500
Ge  0.000  0.000  0.000


[3]
TlGe2C | GGA-PBE | optimized geometry

Calculated values
As for the space group: I-42d, No. 122. The raw total energy comes out at -4.477 eV per atom. As for the relative energy among the computed polymorphs: 0.0000 eV/atom. The value obtained for the formation energy is 281 kJ/mol of formula units.

a b c (Å): 5.652 5.652 6.448
angles (deg): 64.00 64.00 90.00
Element x y z (fractional)
Tl  0.000  0.000  0.000
Tl  0.750  0.250  0.500
Ge  0.375  0.476  0.750
Ge  0.875  0.774  0.750
Ge  0.226  0.625  0.250
Ge  0.524  0.125  0.250
C  0.500  0.500  0.000
C  0.250  0.750  0.500


[4]
Tl3GeC | GGA-PBE | optimized geometry

Calculated values
As for the space group: Pm-3m, No. 221. The raw total energy comes out at -3.096 eV per atom. As for the relative energy among the computed polymorphs: 0.0000 eV/atom. The value obtained for the formation energy is 527 kJ/mol of formula units.

a b c (Å): 4.956 4.956 4.956
angles (deg): 90.00 90.00 90.00
Element x y z (fractional)
Tl  0.000  0.500  0.000
Tl  0.000  0.000  0.500
Tl  0.500  0.000  0.000
C  0.000  0.000  0.000
Ge  0.500  0.500  0.500